Below is an optimized crystal structure of PrSmEuSc, with properties calculated at the GGA-PBE level.

Cell lengths 5.7160, 5.7160, 5.7160 Å; angles 60.00, 60.00, 60.00 degrees
Closest atoms and distances in Å follow each position.
Fractional coordinates of all 4 atoms:
Eu 0.7500 0.7500 0.7500  4 Pr 3.50, 4 Sm 3.50
Pr 0.5000 0.5000 0.5000  4 Sc 3.50, 4 Eu 3.50
Sc 0.2500 0.2500 0.2500  4 Pr 3.50, 4 Sm 3.50
Sm 0.0000 0.0000 0.0000  4 Sc 3.50, 4 Eu 3.50

Computed properties:
V, Å³ per cell: 132
Total DFT energy (no corrections), eV/cell: -25.52
E_form, meV/atom: 147

=====

Below is an optimized crystal structure of La7Dy16Er6, with properties calculated at the GGA-PBE level.

Cell lengths 11.2898, 11.2898, 11.2898 Å; angles 60.00, 60.00, 60.00 degrees
Closest atoms and distances in Å follow each position.
Fractional coordinates of all 29 atoms:
La 0.0000 0.0000 0.0000  8 Dy 3.60, 6 Er 4.01
La 0.5000 0.0000 0.5000  8 Dy 3.29-3.41
La 0.0000 0.5000 0.0000  8 Dy 3.29-3.41
La 0.0000 0.5000 0.5000  8 Dy 3.29-3.41
La 0.5000 0.0000 0.0000  8 Dy 3.29-3.41
La 0.0000 0.0000 0.5000  8 Dy 3.29-3.41
La 0.5000 0.5000 0.0000  8 Dy 3.29-3.41
Dy 0.8698 0.8698 0.3906  4 La 3.41-3.60, 3 Er 3.52, 3 Dy 3.54
Dy 0.8698 0.8698 0.8698  4 La 3.41-3.60, 3 Er 3.52, 3 Dy 3.54
Dy 0.8698 0.3906 0.8698  4 La 3.41-3.60, 3 Er 3.52, 3 Dy 3.54
Dy 0.3906 0.8698 0.8698  4 La 3.41-3.60, 3 Er 3.52, 3 Dy 3.54
Dy 0.1302 0.1302 0.1302  4 La 3.41-3.60, 3 Er 3.52, 3 Dy 3.54
Dy 0.1302 0.1302 0.6094  4 La 3.41-3.60, 3 Er 3.52, 3 Dy 3.54
Dy 0.1302 0.6094 0.1302  4 La 3.41-3.60, 3 Er 3.52, 3 Dy 3.54
Dy 0.6094 0.1302 0.1302  4 La 3.41-3.60, 3 Er 3.52, 3 Dy 3.54
Dy 0.6498 0.6498 0.0506  3 La 3.29, 3 Dy 3.54
Dy 0.6498 0.6498 0.6498  3 La 3.29, 3 Dy 3.54
Dy 0.6498 0.0506 0.6498  3 La 3.29, 3 Dy 3.54
Dy 0.0506 0.6498 0.6498  3 La 3.29, 3 Dy 3.54
Dy 0.3502 0.3502 0.3502  3 La 3.29, 3 Dy 3.54
Dy 0.3502 0.3502 0.9494  3 La 3.29, 3 Dy 3.54
Dy 0.3502 0.9494 0.3502  3 La 3.29, 3 Dy 3.54
Dy 0.9494 0.3502 0.3502  3 La 3.29, 3 Dy 3.54
Er 0.2515 0.7485 0.2515  8 Dy 3.52-3.73
Er 0.7485 0.2515 0.7485  8 Dy 3.52-3.73
Er 0.7485 0.2515 0.2515  8 Dy 3.52-3.73
Er 0.2515 0.7485 0.7485  8 Dy 3.52-3.73
Er 0.7485 0.7485 0.2515  8 Dy 3.52-3.73
Er 0.2515 0.2515 0.7485  8 Dy 3.52-3.73

Computed properties:
V, Å³ per cell: 1018
Total DFT energy (no corrections), eV/cell: -127.39
E_form, meV/atom: 280

=====

Below is an optimized crystal structure of CaSc2Ag, with properties calculated at the GGA-PBE level.

Cell lengths 3.4361, 3.4361, 8.9417 Å; angles 90.00, 90.00, 89.99 degrees
Closest atoms and distances in Å follow each position.
Fractional coordinates of all 4 atoms:
Sc 0.0000 0.0000 0.0620  4 Ag 2.95
Sc 0.0000 0.0000 0.4380  4 Ag 2.95
Ca 0.5000 0.5000 0.7500  4 Ca 3.44, 8 Sc 3.70
Ag 0.5000 0.5000 0.2500  8 Sc 2.95

Computed properties:
V, Å³ per cell: 106
ΔE to the lowest computed polymorph, meV/atom: 72
Total DFT energy (no corrections), eV/cell: -17.48
E_form, meV/atom: 9

=====

Below is an optimized crystal structure of LaGdHgPt, with properties calculated at the GGA-PBE level.

Cell lengths 5.2470, 5.2470, 5.2470 Å; angles 60.00, 60.00, 60.00 degrees
Closest atoms and distances in Å follow each position.
Fractional coordinates of all 4 atoms:
Gd 0.0000 0.0000 0.0000  4 Hg 3.21, 4 Pt 3.21
Hg 0.2500 0.2500 0.2500  4 Gd 3.21, 4 La 3.21
Pt 0.7500 0.7500 0.7500  4 Gd 3.21, 4 La 3.21
La 0.5000 0.5000 0.5000  4 Hg 3.21, 4 Pt 3.21

Computed properties:
V, Å³ per cell: 102
Total DFT energy (no corrections), eV/cell: -28.36
E_form, meV/atom: -752

=====

Below is an optimized crystal structure of La4AgPd12, with properties calculated at the GGA-PBE level.

Cell lengths 7.5529, 7.5529, 7.5529 Å; angles 109.47, 109.47, 109.47 degrees
Closest atoms and distances in Å follow each position.
Fractional coordinates of all 17 atoms:
La 0.0000 0.0000 0.5000  12 Pd 3.08-3.12
La 0.5000 0.0000 0.0000  12 Pd 3.08-3.12
La 0.5000 0.5000 0.5000  12 Pd 3.08-3.12
La 0.0000 0.5000 0.0000  12 Pd 3.08-3.12
Ag 0.0000 0.0000 0.0000  6 Pd 2.65
Pd 0.0000 0.3033 0.3033  1 Ag 2.65, 4 Pd 2.77
Pd 0.0000 0.6967 0.6967  1 Ag 2.65, 4 Pd 2.77
Pd 0.6967 0.6967 0.0000  1 Ag 2.65, 4 Pd 2.77
Pd 0.3033 0.3033 0.0000  1 Ag 2.65, 4 Pd 2.77
Pd 0.3033 0.0000 0.3033  1 Ag 2.65, 4 Pd 2.77
Pd 0.6967 0.0000 0.6967  1 Ag 2.65, 4 Pd 2.77
Pd 0.5000 0.2500 0.7500  8 Pd 2.77-3.08, 4 La 3.08
Pd 0.5000 0.7500 0.2500  8 Pd 2.77-3.08, 4 La 3.08
Pd 0.7500 0.2500 0.5000  8 Pd 2.77-3.08, 4 La 3.08
Pd 0.2500 0.7500 0.5000  8 Pd 2.77-3.08, 4 La 3.08
Pd 0.7500 0.5000 0.2500  8 Pd 2.77-3.08, 4 La 3.08
Pd 0.2500 0.5000 0.7500  8 Pd 2.77-3.08, 4 La 3.08

Computed properties:
V, Å³ per cell: 332
Total DFT energy (no corrections), eV/cell: -97.52
E_form, meV/atom: -744

=====

Below is an optimized crystal structure of LaAl2SiH2, with properties calculated at the GGA-PBE level.

Cell lengths 5.6546, 6.2206, 6.3376 Å; angles 123.41, 90.00, 90.00 degrees
Closest atoms and distances in Å follow each position.
Fractional coordinates of all 12 atoms:
La 0.7500 0.2448 0.7588  2 H 2.29-2.34
La 0.2500 0.7552 0.2412  2 H 2.29-2.34
Al 0.5052 0.2666 0.2516  2 H 1.85-2.06
Al 0.9948 0.2666 0.2516  2 H 1.85-2.06
Al 0.0052 0.7334 0.7484  2 H 1.85-2.06
Al 0.4948 0.7334 0.7484  2 H 1.85-2.06
Si 0.2500 0.1340 0.8542  4 Al 2.60-2.61
Si 0.7500 0.8660 0.1458  4 Al 2.60-2.61
H 0.2500 0.1904 0.3825  2 Al 1.85, 1 H 2.01
H 0.2500 0.5448 0.4459  1 H 2.01, 4 Al 2.06-2.12
H 0.7500 0.8096 0.6175  2 Al 1.85, 1 H 2.01
H 0.7500 0.4552 0.5541  1 H 2.01, 4 Al 2.06-2.12

Computed properties:
V, Å³ per cell: 186
Total DFT energy (no corrections), eV/cell: -51.70